Here is an optimized crystal structure of Mn2Be2SnO6 from Alexandria. Energies are from GGA+U.

Properties
- DFT total energy (eV/atom) = -6.95
- symmetry = P-3

```
Mn2Be2SnO6
1.0
-0.113 -1.333 4.970
-3.147 -2.308 -3.356
3.814 -3.831 -0.941
O Mn Be Sn
6 2 2 1
Direct
0.050 0.693 0.778
0.643 0.950 0.778
0.357 0.050 0.222
0.950 0.307 0.222
0.693 0.643 0.222
0.307 0.357 0.778
0.667 0.333 0.639
0.333 0.667 0.361
0.667 0.333 0.176
0.333 0.667 0.824
0.000 0.000 0.000
```